An optimized crystal structure of Sc5Cu. Source: Alexandria, functional PBE.

Geometry as POSCAR:
```
Sc5Cu
1.0
0.000 4.123 4.123
4.123 0.000 4.123
4.123 4.123 0.000
Sc Cu
5 1
direct
0.250 0.250 0.250 Sc
0.624 0.127 0.624 Sc
0.127 0.624 0.624 Sc
0.624 0.624 0.127 Sc
0.624 0.624 0.624 Sc
0.000 0.000 0.000 Cu
```

Summary:
ΔH_f (0 K) in eV/atom: 0.409
SG: F-43m
Offset from the most stable computed form in eV per atom: 0.459
DOS at the Fermi energy in states/eV/cell: 10.1
Crystal system: cubic
Magnetic moment in Bohr magnetons per cell: 0.001